Record 1
This record from Alexandria describes a relaxed structure of PuZrTlBi. The functional is GGA-PBE.

Cell: 5.2880 5.2880 5.2880 Å, 60.00 60.00 60.00°
Each line ends with the local moment (μB).
Atoms (fractional coordinates):
1 Pu 0.7500 0.7500 0.7500  5.46
2 Tl 0.0000 0.0000 0.0000  0.00
3 Bi 0.5000 0.5000 0.5000  -0.02
4 Zr 0.2500 0.2500 0.2500  0.42

N(E_F) (states/eV/f.u.): 10.81
Symmetry: F-43m, No. 216
Calculated total energy (eV per atom): -7.328



Record 2
This record from Alexandria describes a relaxed structure of PmPaSb2. The functional is GGA-PBE.

Cell: 4.3405 4.3405 8.0261 Å, 74.31 74.31 60.00°
Each line ends with the local moment (μB).
Atoms (fractional coordinates):
1 Sb 0.0803 0.0803 0.7592  -0.01
2 Sb 0.2538 0.2538 0.2385  -0.01
3 Pm 0.4961 0.4961 0.5117  -0.02
4 Pa 0.6698 0.6698 0.9906  0.53

Offset from the most stable computed form (eV/atom): 0.096
Raw formation energy (eV per atom): -0.709
N(E_F) (states/eV/f.u.): 5.78
Symmetry: R3m, No. 160
Calculated total energy (eV per atom): -6.332



Record 3
This record from Alexandria describes a relaxed structure of BiRu. The functional is GGA-PBE.

Cell: 3.4550 5.7365 8.4628 Å, 90.00 90.00 90.00°
Atoms (fractional coordinates):
1 Ru 0.5000 0.2262 0.5000
2 Ru 0.0000 0.2738 0.0000
3 Ru 0.5000 0.7738 0.5000
4 Ru 0.0000 0.7262 0.0000
5 Bi 0.5000 0.0000 0.8064
6 Bi 0.0000 0.5000 0.3064
7 Bi 0.5000 0.0000 0.1936
8 Bi 0.0000 0.5000 0.6936

N(E_F) (states/eV/f.u.): 2.27
Symmetry: Immm, No. 71
Calculated total energy (eV per atom): -6.120